A | DFT (PBE) results for crystalline LaZr3Br at its relaxed geometry.

```
data_LaZr3Br
_chemical_formula_sum 'La1 Zr3 Br1'
_cell_length_a 5.1385
_cell_length_b 5.1385
_cell_length_c 5.1385
_cell_angle_alpha 90.00
_cell_angle_beta 90.00
_cell_angle_gamma 90.00
_symmetry_space_group_name_H-M 'P m -3 m'
_symmetry_Int_Tables_number 221
_symmetry_space_group_name_Hall '-P 4 2 3'
loop_
_atom_site_label
_atom_site_fract_x
_atom_site_fract_y
_atom_site_fract_z
La1 0.0000 0.0000 0.0000
Zr1 0.0000 0.5000 0.5000
Br1 0.5000 0.5000 0.5000
```


B | DFT (PBE) results for crystalline LaZr3Br at its relaxed geometry.

```
data_LaZr3Br
_chemical_formula_sum 'La1 Zr3 Br1'
_cell_length_a 5.2415
_cell_length_b 5.2415
_cell_length_c 5.2415
_cell_angle_alpha 90.00
_cell_angle_beta 90.00
_cell_angle_gamma 90.00
_symmetry_space_group_name_H-M 'P m -3 m'
_symmetry_Int_Tables_number 221
_symmetry_space_group_name_Hall '-P 4 2 3'
loop_
_atom_site_label
_atom_site_fract_x
_atom_site_fract_y
_atom_site_fract_z
La1 0.0000 0.0000 0.0000
Zr1 0.0000 0.0000 0.5000
Br1 0.5000 0.5000 0.5000
```


Tell me which of them is the least stable. Sure, it is B.


A | DFT (PBE) results for crystalline LiBr2 at its relaxed geometry.

```
data_LiBr2
_chemical_formula_sum 'Li1 Br2'
_cell_length_a 4.1475
_cell_length_b 4.3007
_cell_length_c 5.7951
_cell_angle_alpha 70.10
_cell_angle_beta 89.91
_cell_angle_gamma 61.18
_symmetry_space_group_name_H-M 'P 1'
_symmetry_Int_Tables_number 1
loop_
_symmetry_equiv_pos_as_xyz
'x,y,z'
loop_
_atom_site_label
_atom_site_fract_x
_atom_site_fract_y
_atom_site_fract_z
Li1 0.0000 0.0000 0.0000
Br1 0.6214 0.7561 0.2925
Br2 0.6255 0.7491 0.7903
```


B | DFT (PBE) results for crystalline LiBr2 at its relaxed geometry.

```
data_LiBr2
_chemical_formula_sum 'Li1 Br2'
_cell_length_a 4.2265
_cell_length_b 4.2499
_cell_length_c 5.6572
_cell_angle_alpha 101.18
_cell_angle_beta 103.46
_cell_angle_gamma 113.12
_symmetry_space_group_name_H-M 'P 1'
_symmetry_Int_Tables_number 1
loop_
_symmetry_equiv_pos_as_xyz
'x,y,z'
loop_
_atom_site_label
_atom_site_fract_x
_atom_site_fract_y
_atom_site_fract_z
Li1 0.0000 0.0000 0.0000
Br1 0.4240 0.0408 0.7396
Br2 0.9259 0.5444 0.2444
```


Tell me which of them is the least stable. Sure, it is A.


A | DFT (PBE) results for crystalline LiBr2 at its relaxed geometry.

```
data_LiBr2
_chemical_formula_sum 'Li1 Br2'
_cell_length_a 5.1737
_cell_length_b 5.1737
_cell_length_c 2.9297
_cell_angle_alpha 90.00
_cell_angle_beta 90.00
_cell_angle_gamma 90.00
_symmetry_space_group_name_H-M 'P 4/m m m'
_symmetry_Int_Tables_number 123
_symmetry_space_group_name_Hall '-P 4 2'
loop_
_atom_site_label
_atom_site_fract_x
_atom_site_fract_y
_atom_site_fract_z
Li1 0.0000 0.0000 0.0000
Br1 0.0000 0.5000 0.5000
```


B | DFT (PBE) results for crystalline LiBr2 at its relaxed geometry.

```
data_LiBr2
_chemical_formula_sum 'Li1 Br2'
_cell_length_a 4.0872
_cell_length_b 4.0872
_cell_length_c 5.1316
_cell_angle_alpha 90.00
_cell_angle_beta 90.00
_cell_angle_gamma 120.00
_symmetry_space_group_name_H-M 'P -3 m 1'
_symmetry_Int_Tables_number 164
_symmetry_space_group_name_Hall '-P 3 2"'
loop_
_atom_site_label
_atom_site_fract_x
_atom_site_fract_y
_atom_site_fract_z
Li1 0.0000 0.0000 0.0000
Br1 0.3333 0.6667 0.2538
```


C | DFT (PBE) results for crystalline LiBr2 at its relaxed geometry.

```
data_LiBr2
_chemical_formula_sum 'Li4 Br8'
_cell_length_a 4.4344
_cell_length_b 18.7863
_cell_length_c 4.8491
_cell_angle_alpha 90.00
_cell_angle_beta 90.00
_cell_angle_gamma 90.00
_symmetry_space_group_name_H-M 'C m c m'
_symmetry_Int_Tables_number 63
_symmetry_space_group_name_Hall '-C 2c 2'
loop_
_atom_site_label
_atom_site_fract_x
_atom_site_fract_y
_atom_site_fract_z
Li1 0.0000 0.2410 0.2500
Br1 0.0000 0.1907 0.7500
Br2 0.0000 0.4806 0.7500
```


Tell me which of them is the least stable. Sure, it is A.


A | DFT (PBE) results for crystalline LiBr2 at its relaxed geometry.

```
data_LiBr2
_chemical_formula_sum 'Li4 Br8'
_cell_length_a 3.6914
_cell_length_b 3.6914
_cell_length_c 22.4599
_cell_angle_alpha 90.00
_cell_angle_beta 90.00
_cell_angle_gamma 90.00
_symmetry_space_group_name_H-M 'I 41/a m d'
_symmetry_Int_Tables_number 141
loop_
_symmetry_equiv_pos_as_xyz
'x,y,z'
'-x,-y,-z'
'-y+1/4,x+3/4,z+1/4'
'y+1/4,-x+3/4,-z+1/4'
'-x+1/2,-y,z+1/2'
'x+1/2,y,-z+1/2'
'y+1/4,-x+1/4,z+3/4'
'-y+1/4,x+1/4,-z+3/4'
'x,-y,-z'
'-x,y,z'
'-y+1/4,-x+1/4,-z+3/4'
'y+1/4,x+1/4,z+3/4'
'-x+1/2,y,-z+1/2'
'x+1/2,-y,z+1/2'
'y+1/4,x+3/4,-z+1/4'
'-y+1/4,-x+3/4,z+1/4'
'x+1/2,y+1/2,z+1/2'
'-x+1/2,-y+1/2,-z+1/2'
'-y+3/4,x+1/4,z+3/4'
'y+3/4,-x+1/4,-z+3/4'
'-x,-y+1/2,z'
'x,y+1/2,-z'
'y+3/4,-x+3/4,z+1/4'
'-y+3/4,x+3/4,-z+1/4'
'x+1/2,-y+1/2,-z+1/2'
'-x+1/2,y+1/2,z+1/2'
'-y+3/4,-x+3/4,-z+1/4'
'y+3/4,x+3/4,z+1/4'
'-x,y+1/2,-z'
'x,-y+1/2,z'
'y+3/4,x+1/4,-z+3/4'
'-y+3/4,-x+1/4,z+3/4'
loop_
_atom_site_label
_atom_site_fract_x
_atom_site_fract_y
_atom_site_fract_z
Li1 0.0000 0.2500 0.3750
Br1 0.0000 0.2500 0.8112
```


B | DFT (PBE) results for crystalline LiBr2 at its relaxed geometry.

```
data_LiBr2
_chemical_formula_sum 'Li4 Br8'
_cell_length_a 9.1833
_cell_length_b 3.9480
_cell_length_c 11.0305
_cell_angle_alpha 90.00
_cell_angle_beta 92.05
_cell_angle_gamma 90.00
_symmetry_space_group_name_H-M 'C 1 m 1'
_symmetry_Int_Tables_number 8
loop_
_symmetry_equiv_pos_as_xyz
'x,y,z'
'x,-y,z'
'x+1/2,y+1/2,z'
'x+1/2,-y+1/2,z'
loop_
_atom_site_label
_atom_site_fract_x
_atom_site_fract_y
_atom_site_fract_z
Li1 0.0000 0.0000 0.0000
Li2 0.2266 0.5000 0.8165
Br1 0.0392 0.0000 0.7733
Br2 0.1022 0.5000 0.4129
Br3 0.3202 0.0000 0.0242
Br4 0.3450 0.0000 0.4224
```


Tell me which of them is the least stable. Sure, it is A.


A | DFT (PBE) results for crystalline LiBr2 at its relaxed geometry.

```
data_LiBr2
_chemical_formula_sum 'Li1 Br2'
_cell_length_a 5.1574
_cell_length_b 5.1574
_cell_length_c 3.8323
_cell_angle_alpha 90.00
_cell_angle_beta 90.00
_cell_angle_gamma 120.00
_symmetry_space_group_name_H-M 'P 6/m m m'
_symmetry_Int_Tables_number 191
_symmetry_space_group_name_Hall '-P 6 2'
loop_
_atom_site_label
_atom_site_fract_x
_atom_site_fract_y
_atom_site_fract_z
Li1 0.0000 0.0000 0.0000
Br1 0.3333 0.6667 0.5000
```


B | DFT (PBE) results for crystalline LiBr2 at its relaxed geometry.

```
data_LiBr2
_chemical_formula_sum 'Li3 Br6'
_cell_length_a 7.3706
_cell_length_b 7.3706
_cell_length_c 5.0402
_cell_angle_alpha 90.00
_cell_angle_beta 90.00
_cell_angle_gamma 120.00
_symmetry_space_group_name_H-M 'P -6 2 m'
_symmetry_Int_Tables_number 189
_symmetry_space_group_name_Hall 'P -6 -2'
loop_
_atom_site_label
_atom_site_fract_x
_atom_site_fract_y
_atom_site_fract_z
Li1 0.0000 0.0000 0.0000
Li2 0.3333 0.6667 0.5000
Br1 0.0000 0.3106 0.5000
Br2 0.0000 0.6568 0.0000
```


Tell me which of them is the least stable. Sure, it is A.


A | DFT (PBE) results for crystalline LiBr5 at its relaxed geometry.

```
data_LiBr5
_chemical_formula_sum 'Li2 Br10'
_cell_length_a 9.3369
_cell_length_b 4.0099
_cell_length_c 11.8691
_cell_angle_alpha 90.00
_cell_angle_beta 99.83
_cell_angle_gamma 90.00
_symmetry_space_group_name_H-M 'C 1 m 1'
_symmetry_Int_Tables_number 8
loop_
_symmetry_equiv_pos_as_xyz
'x,y,z'
'x,-y,z'
'x+1/2,y+1/2,z'
'x+1/2,-y+1/2,z'
loop_
_atom_site_label
_atom_site_fract_x
_atom_site_fract_y
_atom_site_fract_z
Li1 0.0000 0.0000 0.0000
Br1 0.0737 0.0000 0.3566
Br2 0.1225 0.5000 0.8304
Br3 0.3216 0.5000 0.3644
Br4 0.3427 0.0000 0.0375
Br5 0.4463 0.0000 0.6641
```


B | DFT (PBE) results for crystalline LiBr5 at its relaxed geometry.

```
data_LiBr5
_chemical_formula_sum 'Li2 Br10'
_cell_length_a 3.9938
_cell_length_b 26.3790
_cell_length_c 3.9953
_cell_angle_alpha 90.00
_cell_angle_beta 90.00
_cell_angle_gamma 90.00
_symmetry_space_group_name_H-M 'C m m m'
_symmetry_Int_Tables_number 65
_symmetry_space_group_name_Hall '-C 2 2'
loop_
_atom_site_label
_atom_site_fract_x
_atom_site_fract_y
_atom_site_fract_z
Li1 0.0000 0.0000 0.0000
Br1 0.0000 0.1655 0.5000
Br2 0.0000 0.3345 0.0000
Br3 0.0000 0.5000 0.5000
```


Tell me which of them is the least stable. Sure, it is B.


A | DFT (PBE) results for crystalline Li4Br at its relaxed geometry.

```
data_Li4Br
_chemical_formula_sum 'Li4 Br1'
_cell_length_a 5.0442
_cell_length_b 5.0442
_cell_length_c 5.0442
_cell_angle_alpha 90.00
_cell_angle_beta 90.00
_cell_angle_gamma 90.00
_symmetry_space_group_name_H-M 'P m -3 m'
_symmetry_Int_Tables_number 221
_symmetry_space_group_name_Hall '-P 4 2 3'
loop_
_atom_site_label
_atom_site_fract_x
_atom_site_fract_y
_atom_site_fract_z
Li1 0.0000 0.0000 0.0000
Li2 0.0000 0.5000 0.5000
Br1 0.5000 0.5000 0.5000
```


B | DFT (PBE) results for crystalline Li4Br at its relaxed geometry.

```
data_Li4Br
_chemical_formula_sum 'Li8 Br2'
_cell_length_a 3.6199
_cell_length_b 3.6199
_cell_length_c 17.0231
_cell_angle_alpha 90.00
_cell_angle_beta 90.00
_cell_angle_gamma 90.00
_symmetry_space_group_name_H-M 'I 4/m m m'
_symmetry_Int_Tables_number 139
_symmetry_space_group_name_Hall '-I 4 2'
loop_
_atom_site_label
_atom_site_fract_x
_atom_site_fract_y
_atom_site_fract_z
Li1 0.0000 0.0000 0.0924
Li2 0.0000 0.5000 0.2500
Br1 0.0000 0.0000 0.5000
```


Tell me which of them is the least stable. Sure, it is A.


A | DFT (PBE) results for crystalline Li2Br3 at its relaxed geometry.

```
data_Li2Br3
_chemical_formula_sum 'Li12 Br18'
_cell_length_a 6.9405
_cell_length_b 6.9405
_cell_length_c 17.2786
_cell_angle_alpha 90.00
_cell_angle_beta 90.00
_cell_angle_gamma 120.00
_symmetry_space_group_name_H-M 'R -3 c'
_symmetry_Int_Tables_number 167
_symmetry_space_group_name_Hall '-R 3 2"c'
loop_
_atom_site_label
_atom_site_fract_x
_atom_site_fract_y
_atom_site_fract_z
Li1 0.0000 0.0000 0.1535
Br1 0.0000 0.3256 0.2500
```


B | DFT (PBE) results for crystalline Li2Br3 at its relaxed geometry.

```
data_Li2Br3
_chemical_formula_sum 'Li6 Br9'
_cell_length_a 4.0492
_cell_length_b 4.0492
_cell_length_c 25.4744
_cell_angle_alpha 90.00
_cell_angle_beta 90.00
_cell_angle_gamma 120.00
_symmetry_space_group_name_H-M 'R -3 m'
_symmetry_Int_Tables_number 166
_symmetry_space_group_name_Hall '-R 3 2"'
loop_
_atom_site_label
_atom_site_fract_x
_atom_site_fract_y
_atom_site_fract_z
Li1 0.0000 0.0000 0.1003
Br1 0.0000 0.0000 0.2784
Br2 0.0000 0.0000 0.5000
```


Tell me which of them is the least stable. Sure, it is B.